Record 1
# YTi3Os

A geometry-optimized YTi3Os structure (GGA-PBE, the Alexandria database).

Output
energy	-6.42	eV per atom
energy relative to the lowest polymorph listed for this composition	1655	meV per atom
ΔH_f (0 K)	1.855	eV/atom

Unit cell a=4.605 b=4.605 c=4.605 alpha=90.00 beta=90.00 gamma=90.00
Sites, in units of the cell vectors:
Y  0.000  0.000  0.000
Ti  0.000  0.000  0.500
Ti  0.000  0.500  0.000
Ti  0.500  0.000  0.000
Os  0.500  0.500  0.500


Record 2
# K3TcPb

A geometry-optimized K3TcPb structure (GGA-PBE, the Alexandria database).

Output
energy	-2.25	eV per atom
energy relative to the lowest polymorph listed for this composition	0	meV per atom
ΔH_f (0 K)	1.220	eV/atom

Unit cell a=6.749 b=6.749 c=6.749 alpha=90.00 beta=90.00 gamma=90.00
Sites, in units of the cell vectors:
K  0.000  0.000  0.500
K  0.000  0.500  0.000
K  0.500  0.000  0.000
Tc  0.500  0.500  0.500
Pb  0.000  0.000  0.000


Record 3
# CdAgGePd

A geometry-optimized CdAgGePd structure (GGA-PBE, the Alexandria database).

Output
energy	-3.49	eV per atom
ΔH_f (0 K)	-0.097	eV/atom

Unit cell a=4.647 b=4.647 c=4.647 alpha=60.00 beta=60.00 gamma=60.00
Sites, in units of the cell vectors:
Cd  0.000  0.000  0.000
Ag  0.750  0.750  0.750
Ge  0.500  0.500  0.500
Pd  0.250  0.250  0.250